Computed, not measured: a relaxed ScCuPbSeS2 crystal at the GGA-PBE level of DFT.

Geometry as POSCAR:
```
ScCuPbSeS2
1.0
1.916 -6.591 0.000
1.916 6.591 0.000
0.000 0.000 10.081
Sc Cu Pb Se S
2 2 2 2 4
Direct
0.000 0.000 0.000
0.000 0.000 0.500
0.462 0.538 0.750
0.538 0.462 0.250
0.234 0.766 0.250
0.766 0.234 0.750
0.081 0.919 0.750
0.919 0.081 0.250
0.370 0.630 0.557
0.370 0.630 0.943
0.630 0.370 0.057
0.630 0.370 0.443
```

SG: Cmcm, No. 63
Total DFT energy (no corrections), eV per cell: -62.796